Entry from the Alexandria database: a relaxed DySc2Bi2 crystal (PBE).

Output
energy of formation: -0.411 eV/atom

abc: 4.3558 4.3558 8.0149
angles: 106.32 106.32 89.94
Sites, in units of the cell vectors:
Dy 0.0000 0.0000 0.0000
Sc 0.2494 0.7506 0.5000
Sc 0.7506 0.2494 0.5000
Bi 0.6041 0.6041 0.2180
Bi 0.3959 0.3959 0.7820


Entry from the Alexandria database: a relaxed CeGd2Sb crystal (PBE).

Output
energy above the lowest structure with this stoichiometry: 0.2355 eV/atom

abc: 5.4048 5.4048 5.4051
angles: 60.00 60.00 60.00
Sites, in units of the cell vectors:
Sb 0.0000 0.0000 0.0000
Gd 0.7501 0.7501 0.7498
Gd 0.2499 0.2499 0.2502
Ce 0.5000 0.5000 0.5000


Entry from the Alexandria database: a relaxed KCaB2 crystal (PBE).

Output
energy of formation: 1.650 eV/atom
energy above the lowest structure with this stoichiometry: 0.2451 eV/atom

abc: 7.6912 7.6912 6.3290
angles: 52.58 52.58 90.00
Sites, in units of the cell vectors:
Ca 0.0000 0.0000 0.0000
Ca 0.7500 0.2500 0.5000
B 0.6643 0.1250 0.2500
B 0.0857 0.6250 0.2500
B 0.3750 0.3357 0.7500
B 0.8750 0.9143 0.7500
K 0.5000 0.5000 0.0000
K 0.2500 0.7500 0.5000


Entry from the Alexandria database: a relaxed Ac2EuAg crystal (PBE).

Output
energy of formation: -0.095 eV/atom
energy above the lowest structure with this stoichiometry: 0.0000 eV/atom

abc: 3.9826 3.9826 9.4766
angles: 90.00 90.00 90.00
Sites, in units of the cell vectors:
Eu 0.5000 0.5000 0.5000
Ac 0.0000 0.0000 0.7967
Ac 0.0000 0.0000 0.2033
Ag 0.5000 0.5000 0.0000


Entry from the Alexandria database: a relaxed CuRe2Mo crystal (PBE).

Output
energy of formation: 0.245 eV/atom
energy above the lowest structure with this stoichiometry: 0.0702 eV/atom

abc: 4.7683 4.7683 4.7683
angles: 132.23 132.23 69.86
Sites, in units of the cell vectors:
Cu 0.2500 0.7500 0.5000
Mo 0.7500 0.2500 0.5000
Re 0.0000 0.0000 0.0000
Re 0.5000 0.5000 0.0000


Entry from the Alexandria database: a relaxed Mg2TcBr crystal (PBE).

Output
energy above the lowest structure with this stoichiometry: 0.0000 eV/atom

abc: 3.1702 3.2355 8.0509
angles: 90.06 90.00 90.00
Sites, in units of the cell vectors:
Br 0.5000 0.7500 0.7500
Mg 0.0000 0.7494 0.0322
Mg 0.0000 0.7506 0.4678
Tc 0.5000 0.2500 0.2500


Entry from the Alexandria database: a relaxed Ca2Ho2Bi2P crystal (PBE).

Output
energy of formation: -0.933 eV/atom

abc: 5.2231 5.2231 9.0130
angles: 106.84 106.84 90.00
Sites, in units of the cell vectors:
Ca 0.1718 0.1718 0.3435
Ca 0.8282 0.8282 0.6565
Ho 0.0000 0.5000 0.0000
Ho 0.5000 0.0000 0.0000
Bi 0.3674 0.3674 0.7348
Bi 0.6326 0.6326 0.2652
P 0.0000 0.0000 0.0000


Entry from the Alexandria database: a relaxed Si2TcNi2 crystal (PBE).

Output
energy above the lowest structure with this stoichiometry: 0.1648 eV/atom

abc: 6.8289 6.8289 2.5648
angles: 90.00 90.00 90.00
Sites, in units of the cell vectors:
Ni 0.3735 0.8735 0.0000
Ni 0.8735 0.6265 0.0000
Ni 0.6265 0.1265 0.0000
Ni 0.1265 0.3735 0.0000
Si 0.1714 0.6714 0.5000
Si 0.6714 0.8286 0.5000
Si 0.8286 0.3286 0.5000
Si 0.3286 0.1714 0.5000
Tc 0.0000 0.0000 0.0000
Tc 0.5000 0.5000 0.0000


no.,size of the total moment (μB per atom)
1,0.21
2,4.34
3,0.24
4,2.07
5,0.00
6,0.35
7,0.00
8,0.00